Li2SnMoF8 | GGA+U | relaxed

Cell lengths 4.840, 4.914, 7.244 Å; angles 85.55, 85.13, 84.48 degrees
Space group P-1 (No. 2)
One atom of each set of equivalent atoms:
Li (0.028, 0.036, 0.292)
Sn (0.500, 0.500, 0.500)
Mo (0.500, 0.500, 0.000)
F (0.173, 0.187, 0.504)
F (0.223, 0.233, 0.040)
F (0.296, 0.710, 0.785)
F (0.296, 0.714, 0.202)

Calculated values
Spin magnetization (μB/f.u.): 1.983
E (eV/atom): -5.065
Crystal system: triclinic